Entry 1:
Compound: OsPtPb2
Source: the Alexandria database
Functional: PBE
Structure: relaxed

a = 6.8570 Å, b = 6.8570 Å, c = 6.8570 Å
α = 90.00°, β = 90.00°, γ = 90.00°
With the nearest neighbours (Å) after each atom.
Fractional coordinates of all 16 atoms:
1 Os 0.0000 0.0000 0.0000  8 Pb 2.97
2 Os 0.0000 0.5000 0.5000  8 Pb 2.97
3 Os 0.5000 0.0000 0.5000  8 Pb 2.97
4 Os 0.5000 0.5000 0.0000  8 Pb 2.97
5 Pt 0.0000 0.0000 0.5000  8 Pb 2.97
6 Pt 0.0000 0.5000 0.0000  8 Pb 2.97
7 Pt 0.5000 0.0000 0.0000  8 Pb 2.97
8 Pt 0.5000 0.5000 0.5000  8 Pb 2.97
9 Pb 0.2500 0.2500 0.2500  4 Os 2.97, 4 Pt 2.97
10 Pb 0.2500 0.2500 0.7500  4 Os 2.97, 4 Pt 2.97
11 Pb 0.2500 0.7500 0.2500  4 Os 2.97, 4 Pt 2.97
12 Pb 0.2500 0.7500 0.7500  4 Os 2.97, 4 Pt 2.97
13 Pb 0.7500 0.2500 0.2500  4 Os 2.97, 4 Pt 2.97
14 Pb 0.7500 0.2500 0.7500  4 Os 2.97, 4 Pt 2.97
15 Pb 0.7500 0.7500 0.2500  4 Os 2.97, 4 Pt 2.97
16 Pb 0.7500 0.7500 0.7500  4 Os 2.97, 4 Pt 2.97

Formation energy   0.692 eV per atom
E   -0.4027 Ry/atom
Symmetry   No. 225
Energy relative to the lowest polymorph listed for this composition   300.1 meV/atom
Spin magnetization   0.00 μB/f.u.
Mass density   16.48 Mg/m³

---

Entry 2:
Compound: CaTe2Se
Source: the Alexandria database
Functional: PBE
Structure: relaxed

a = 4.6511 Å, b = 4.1403 Å, c = 11.9957 Å
α = 90.00°, β = 90.00°, γ = 90.00°
With the nearest neighbours (Å) after each atom.
Fractional coordinates of all 8 atoms:
1 Ca 0.0000 0.0000 0.0000  2 Se 3.18, 6 Te 3.19-3.34
2 Ca 0.0000 0.5000 0.5000  2 Se 3.18, 6 Te 3.19-3.34
3 Te 0.5000 0.0000 0.5569  1 Te 2.91, 4 Ca 3.19
4 Te 0.5000 0.0000 0.7997  1 Te 2.91, 4 Se 3.11
5 Te 0.5000 0.5000 0.0569  1 Te 2.91, 4 Ca 3.19
6 Te 0.5000 0.5000 0.2997  1 Te 2.91, 4 Se 3.11
7 Se 0.0000 0.0000 0.2985  4 Te 3.11, 2 Ca 3.18
8 Se 0.0000 0.5000 0.7985  4 Te 3.11, 2 Ca 3.18

E   -0.2690 Ry/atom
Symmetry   No. 38
Spin magnetization   0.00 μB/f.u.
Mass density   5.38 Mg/m³
E_form (uncorrected)   -718 meV per atom

---

Entry 3:
Compound: PuCd4B3Pt12
Source: the Alexandria database
Functional: PBE
Structure: relaxed

a = 7.7188 Å, b = 7.7188 Å, c = 7.7188 Å
α = 109.47°, β = 109.47°, γ = 109.47°
With the nearest neighbours (Å) after each atom.
Fractional coordinates of all 20 atoms:
1 Pu 0.0000 0.0000 0.0000  6 Pt 2.51
2 Cd 0.0000 0.0000 0.5000  12 Pt 3.15-3.16
3 Cd 0.0000 0.5000 0.0000  12 Pt 3.15-3.16
4 Cd 0.5000 0.0000 0.0000  12 Pt 3.15-3.16
5 Cd 0.5000 0.5000 0.5000  12 Pt 3.15-3.16
6 B 0.0000 0.5000 0.5000  2 Pt 1.94
7 B 0.5000 0.0000 0.5000  2 Pt 1.94
8 B 0.5000 0.5000 0.0000  2 Pt 1.94
9 Pt 0.0000 0.2818 0.2818  1 B 1.94
10 Pt 0.0000 0.7182 0.7182  1 B 1.94
11 Pt 0.2500 0.5000 0.7500  2 B 2.23
12 Pt 0.2500 0.7500 0.5000  2 B 2.23
13 Pt 0.2818 0.0000 0.2818  1 B 1.94
14 Pt 0.2818 0.2818 0.0000  1 B 1.94
15 Pt 0.5000 0.2500 0.7500  2 B 2.23
16 Pt 0.5000 0.7500 0.2500  2 B 2.23
17 Pt 0.7182 0.0000 0.7182  1 B 1.94
18 Pt 0.7182 0.7182 0.0000  1 B 1.94
19 Pt 0.7500 0.2500 0.5000  2 B 2.23
20 Pt 0.7500 0.5000 0.2500  2 B 2.23

Formation energy   0.068 eV per atom
E   -0.4011 Ry/atom
Symmetry   No. 229
Spin magnetization   4.80 μB/f.u.
Mass density   14.39 Mg/m³